# SrSc2Cu

Crystalline SrSc2Cu at its relaxed geometry (PBE-GGA, Alexandria).

a = 6.2962 Å, b = 6.2962 Å, c = 6.2962 Å
α = 139.56°, β = 139.56°, γ = 58.52°
Sites, in units of the cell vectors:
Sr  0.0000  0.0000  0.0000
Sc  0.2500  0.7500  0.5000
Sc  0.7500  0.2500  0.5000
Cu  0.5000  0.5000  0.0000

Results
SG: I4/mmm
DFT formation energy: 0.372 eV per atom
polymorph energy (0 for the lowest one): 316 meV/atom

---

# SrScCu2

Crystalline SrScCu2 at its relaxed geometry (PBE-GGA, Alexandria).

a = 4.2345 Å, b = 6.2025 Å, c = 6.2025 Å
α = 34.84°, β = 90.00°, γ = 90.00°
Sites, in units of the cell vectors:
Sr  0.0000  0.0000  0.0000
Sc  0.5000  0.2775  0.2775
Cu  0.0000  0.7300  0.7300
Cu  0.5000  0.6122  0.6122

Results
SG: Amm2
DFT formation energy: -0.021 eV per atom
polymorph energy (0 for the lowest one): 79 meV/atom

---

# SrScCu3

Crystalline SrScCu3 at its relaxed geometry (PBE-GGA, Alexandria).

a = 4.9533 Å, b = 4.9533 Å, c = 4.9533 Å
α = 90.00°, β = 90.00°, γ = 90.00°
Sites, in units of the cell vectors:
Sr  0.0000  0.0000  0.0000
Sc  0.5000  0.5000  0.5000
Cu  0.0000  0.5000  0.5000
Cu  0.5000  0.0000  0.5000
Cu  0.5000  0.5000  0.0000

Results
SG: Pm-3m
DFT formation energy: 0.376 eV per atom
polymorph energy (0 for the lowest one): 0 meV/atom

---

# SrScCu4

Crystalline SrScCu4 at its relaxed geometry (PBE-GGA, Alexandria).

a = 5.2818 Å, b = 5.2818 Å, c = 5.2818 Å
α = 60.00°, β = 60.00°, γ = 60.00°
Sites, in units of the cell vectors:
Sr  0.0000  0.0000  0.0000
Sc  0.2500  0.2500  0.2500
Cu  0.1302  0.6233  0.6233
Cu  0.6233  0.1302  0.6233
Cu  0.6233  0.6233  0.1302
Cu  0.6233  0.6233  0.6233

Results
SG: F-43m
DFT formation energy: 0.015 eV per atom

---

# Sr2Sc2Cu

Crystalline Sr2Sc2Cu at its relaxed geometry (PBE-GGA, Alexandria).

a = 7.2298 Å, b = 7.2298 Å, c = 5.9454 Å
α = 90.00°, β = 90.00°, γ = 90.00°
Sites, in units of the cell vectors:
Sr  0.1769  0.3231  0.0000
Sr  0.3231  0.8231  0.0000
Sr  0.6769  0.1769  0.0000
Sr  0.8231  0.6769  0.0000
Sc  0.1558  0.6558  0.5000
Sc  0.3442  0.1558  0.5000
Sc  0.6558  0.8442  0.5000
Sc  0.8442  0.3442  0.5000
Cu  0.0000  0.0000  0.5000
Cu  0.5000  0.5000  0.5000

Results
SG: P4/mbm
DFT formation energy: 0.287 eV per atom
polymorph energy (0 for the lowest one): 0 meV/atom

---

# SrSc2Cu

Crystalline SrSc2Cu at its relaxed geometry (PBE-GGA, Alexandria).

a = 6.5150 Å, b = 6.5150 Å, c = 3.3365 Å
α = 103.67°, β = 103.67°, γ = 123.01°
Sites, in units of the cell vectors:
Sr  0.0000  0.0000  0.0000
Sc  0.0000  0.5000  0.5000
Sc  0.5000  0.0000  0.5000
Cu  0.5000  0.5000  0.0000

Results
SG: C2/m
DFT formation energy: 0.386 eV per atom
polymorph energy (0 for the lowest one): 329 meV/atom

---

# SrScCu2

Crystalline SrScCu2 at its relaxed geometry (PBE-GGA, Alexandria).

a = 4.9949 Å, b = 4.9949 Å, c = 3.4091 Å
α = 90.16°, β = 90.16°, γ = 89.92°
Sites, in units of the cell vectors:
Sr  0.0000  0.0000  0.0000
Sc  0.5000  0.5000  0.0000
Cu  0.0000  0.5000  0.5000
Cu  0.5000  0.0000  0.5000

Results
SG: C2/m
DFT formation energy: 0.032 eV per atom
polymorph energy (0 for the lowest one): 132 meV/atom

---

# SrSc2Cu

Crystalline SrSc2Cu at its relaxed geometry (PBE-GGA, Alexandria).

a = 3.4056 Å, b = 3.4056 Å, c = 9.0325 Å
α = 90.00°, β = 90.00°, γ = 90.00°
Sites, in units of the cell vectors:
Sr  0.0000  0.0000  0.0000
Sc  0.5000  0.5000  0.3335
Sc  0.5000  0.5000  0.6665
Cu  0.0000  0.0000  0.5000

Results
SG: P4/mmm
DFT formation energy: 0.082 eV per atom
polymorph energy (0 for the lowest one): 25 meV/atom

---

Number 1: calculated volume 104.0 Å³/cell. Number 2: calculated volume 93.1 Å³/cell. Number 3: calculated volume 121.5 Å³/cell. Number 4: calculated volume 104.2 Å³/cell. Number 5: calculated volume 310.8 Å³/cell. Number 6: calculated volume 103.2 Å³/cell. Number 7: calculated volume 85.1 Å³/cell. Number 8: calculated volume 104.8 Å³/cell.